The following is a DFT calculation (PBEsol) of a geometry-optimized CuNiAu2 structure.

Unit cell a=5.1238 b=5.1238 c=5.1238 alpha=147.23 beta=129.70 gamma=61.34
With the nearest neighbours (Å) after each atom.
Fractional coordinates of all 4 atoms:
Cu 0.0000 0.0000 0.0000  2 Ni 2.45, 6 Au 2.62-2.65
Ni 0.2247 0.7247 0.5000  2 Cu 2.45, 6 Au 2.62-2.63
Au 0.4734 0.4734 0.0000  4 Cu 2.62, 2 Ni 2.63, 4 Au 2.81-2.89
Au 0.7474 0.2474 0.5000  4 Ni 2.62, 2 Cu 2.65, 4 Au 2.81-2.89

## Properties
**Space group**: Imm2
**DFT total energy**: -0.334 Ry/atom
**Total moment**: 0.00 Bohr magnetons per cell
**Energy of formation**: 42.1 meV/atom